VASP calculation (GGA-PBE) on a geometry-optimized SnIr2PdI structure.

```
data_SnIr2PdI
_chemical_formula_sum 'Sn1 Ir2 Pd1 I1'
_symmetry_space_group_name_H-M 'P 4/m m m'
_symmetry_Int_Tables_number 123
_symmetry_space_group_name_Hall '-P 4 2'
_cell_length_a 4.965
_cell_length_b 4.965
_cell_length_c 4.979
_cell_angle_alpha 90.00
_cell_angle_beta 90.00
_cell_angle_gamma 90.00
loop_
_atom_site_label
_atom_site_type_symbol
_atom_site_fract_x
_atom_site_fract_y
_atom_site_fract_z
_atom_site_occupancy
Sn1 Sn 0.000 0.000 0.000 1
Ir1 Ir 0.000 0.500 0.500 1
Pd1 Pd 0.000 0.000 0.500 1
I1 I 0.500 0.500 0.000 1
```

DOS(E_F) = 8.396 states/eV per cell
ρ = 9.96 g cm⁻³
DFT total energy = -21.408 eV for the cell shown
calculated volume = 24.55 Å³/atom

VASP calculation (GGA-PBE) on a geometry-optimized TaIrPd2I structure.

```
data_TaIrPd2I
_chemical_formula_sum 'Ta1 Ir1 Pd2 I1'
_symmetry_space_group_name_H-M 'P 4/m m m'
_symmetry_Int_Tables_number 123
_symmetry_space_group_name_Hall '-P 4 2'
_cell_length_a 5.013
_cell_length_b 5.013
_cell_length_c 4.736
_cell_angle_alpha 90.00
_cell_angle_beta 90.00
_cell_angle_gamma 90.00
loop_
_atom_site_label
_atom_site_type_symbol
_atom_site_fract_x
_atom_site_fract_y
_atom_site_fract_z
_atom_site_occupancy
Ta1 Ta 0.000 0.000 0.000 1
Ir1 Ir 0.000 0.000 0.500 1
Pd1 Pd 0.000 0.500 0.500 1
I1 I 0.500 0.500 0.000 1
```

DOS(E_F) = 6.007 states/eV per cell
ρ = 9.95 g cm⁻³
DFT total energy = -27.586 eV for the cell shown
calculated volume = 23.81 Å³/atom

VASP calculation (GGA-PBE) on a geometry-optimized TcIrPd2I structure.

```
data_TcIrPd2I
_chemical_formula_sum 'Tc1 Ir1 Pd2 I1'
_symmetry_space_group_name_H-M 'P 4/m m m'
_symmetry_Int_Tables_number 123
_symmetry_space_group_name_Hall '-P 4 2'
_cell_length_a 4.879
_cell_length_b 4.879
_cell_length_c 4.908
_cell_angle_alpha 90.00
_cell_angle_beta 90.00
_cell_angle_gamma 90.00
loop_
_atom_site_label
_atom_site_type_symbol
_atom_site_fract_x
_atom_site_fract_y
_atom_site_fract_z
_atom_site_occupancy
Tc1 Tc 0.000 0.000 0.000 1
Ir1 Ir 0.500 0.500 0.000 1
Pd1 Pd 0.000 0.500 0.500 1
I1 I 0.500 0.500 0.500 1
```

DOS(E_F) = 3.155 states/eV per cell
ρ = 8.95 g cm⁻³
DFT total energy = -23.288 eV for the cell shown
calculated volume = 23.37 Å³/atom

VASP calculation (GGA-PBE) on a geometry-optimized TeIr2PdI structure.

```
data_TeIr2PdI
_chemical_formula_sum 'Te1 Ir2 Pd1 I1'
_symmetry_space_group_name_H-M 'P 4/m m m'
_symmetry_Int_Tables_number 123
_symmetry_space_group_name_Hall '-P 4 2'
_cell_length_a 4.991
_cell_length_b 4.991
_cell_length_c 4.968
_cell_angle_alpha 90.00
_cell_angle_beta 90.00
_cell_angle_gamma 90.00
loop_
_atom_site_label
_atom_site_type_symbol
_atom_site_fract_x
_atom_site_fract_y
_atom_site_fract_z
_atom_site_occupancy
Te1 Te 0.000 0.000 0.000 1
Ir1 Ir 0.000 0.500 0.500 1
Pd1 Pd 0.000 0.000 0.500 1
I1 I 0.500 0.500 0.000 1
```

DOS(E_F) = 7.857 states/eV per cell
ρ = 10.00 g cm⁻³
DFT total energy = -19.610 eV for the cell shown
calculated volume = 24.75 Å³/atom